[1]
CsAg2P2 after structural relaxation, computed with GGA-PBE.

## Properties
Total magnetic moment, μB/f.u.: 0.000
E_tot, eV/atom: -3.485

a b c (Å): 4.8008 4.8008 9.9371
angles (deg): 90.00 90.00 90.00
Closest atoms and distances in Å follow each position.
Space group I4/mmm (No. 139)
Symmetry-distinct sites (fractional):
1 Cs 0.0000 0.0000 0.0000  8 Ag 3.45, 10 P 3.57-3.87
2 Ag 0.0000 0.5000 0.2500  4 P 2.77
3 P 0.0000 0.0000 0.3891  1 P 2.20

---

[2]
Cs2Ag2P after structural relaxation, computed with GGA-PBE.

## Properties
Total magnetic moment, μB/f.u.: 0.000
E_tot, eV/atom: -2.457

a b c (Å): 7.2008 7.2008 5.8644
angles (deg): 90.00 90.00 90.00
Closest atoms and distances in Å follow each position.
Space group P4/mbm (No. 127)
Symmetry-distinct sites (fractional):
1 Cs 0.1864 0.3136 0.0000  2 Ag 3.39, 5 Cs 3.72-3.80
2 Ag 0.1466 0.6466 0.5000  2 P 2.76, 1 Ag 2.99
3 P 0.0000 0.0000 0.5000  4 Ag 2.76

---

[3]
Cs2AgP2 after structural relaxation, computed with GGA-PBE.

## Properties
Total magnetic moment, μB/f.u.: 0.000
E_tot, eV/atom: -2.936

a b c (Å): 3.6226 3.6226 23.1271
angles (deg): 90.00 90.00 90.00
Closest atoms and distances in Å follow each position.
Space group I4/mmm (No. 139)
Symmetry-distinct sites (fractional):
1 Cs 0.0000 0.0000 0.1163  4 P 3.58, 4 Cs 3.62, 4 Ag 3.71
2 Ag 0.0000 0.0000 0.5000  4 Ag 3.62, 8 Cs 3.71
3 P 0.0000 0.5000 0.2500  4 P 2.56

---

| no. | energy relative to the elements (eV/atom) |
| --- | --- |
| 1 | -0.01 |
| 2 | 0.11 |
| 3 | 0.14 |